Record 1
# HfAgRh2 PBE optimized geometry
data_HfAgRh2
_chemical_formula_sum 'Hf1 Ag1 Rh2'
_symmetry_space_group_name_H-M 'P 4/m m m'
_symmetry_Int_Tables_number 123
_symmetry_space_group_name_Hall '-P 4 2'
_cell_length_a 4.153
_cell_length_b 4.153
_cell_length_c 3.743
_cell_angle_alpha 90.00
_cell_angle_beta 90.00
_cell_angle_gamma 90.00
loop_
_atom_site_label
_atom_site_fract_x
_atom_site_fract_y
_atom_site_fract_z
Hf1 0.000 0.000 0.000
Ag1 0.500 0.500 0.000
Rh1 0.000 0.500 0.500
# Fermi-level density of states (states/eV per cell): 4.5
# E_form (eV per atom): -0.547
# Density (g/cm³): 12.66

Record 2
# HfAg2Rh PBE optimized geometry
data_HfAg2Rh
_chemical_formula_sum 'Hf4 Ag8 Rh4'
_symmetry_space_group_name_H-M 'I -4 2 d'
_symmetry_Int_Tables_number 122
_symmetry_space_group_name_Hall 'I -4 2bw'
_cell_length_a 7.627
_cell_length_b 7.627
_cell_length_c 5.247
_cell_angle_alpha 90.00
_cell_angle_beta 90.00
_cell_angle_gamma 90.00
loop_
_atom_site_label
_atom_site_fract_x
_atom_site_fract_y
_atom_site_fract_z
Hf1 0.000 0.000 0.000
Ag1 0.233 0.250 0.625
Rh1 0.000 0.000 0.500
# Fermi-level density of states (states/eV per cell): 11.7
# E_form (eV per atom): 0.257
# Density (g/cm³): 10.82

Record 3
# Hf2AgRh2 PBE optimized geometry
data_Hf2AgRh2
_chemical_formula_sum 'Hf4 Ag2 Rh4'
_symmetry_space_group_name_H-M 'P 4/m b m'
_symmetry_Int_Tables_number 127
_symmetry_space_group_name_Hall '-P 4 2ab'
_cell_length_a 7.764
_cell_length_b 7.764
_cell_length_c 3.074
_cell_angle_alpha 90.00
_cell_angle_beta 90.00
_cell_angle_gamma 90.00
loop_
_atom_site_label
_atom_site_fract_x
_atom_site_fract_y
_atom_site_fract_z
Hf1 0.150 0.350 0.000
Ag1 0.000 0.000 0.000
Rh1 0.142 0.642 0.500
# Fermi-level density of states (states/eV per cell): 4.4
# E_form (eV per atom): -0.475
# Density (g/cm³): 12.02

Record 4
# HfAg3Rh PBE optimized geometry
data_HfAg3Rh
_chemical_formula_sum 'Hf1 Ag3 Rh1'
_symmetry_space_group_name_H-M 'P m -3 m'
_symmetry_Int_Tables_number 221
_symmetry_space_group_name_Hall '-P 4 2 3'
_cell_length_a 4.904
_cell_length_b 4.904
_cell_length_c 4.904
_cell_angle_alpha 90.00
_cell_angle_beta 90.00
_cell_angle_gamma 90.00
loop_
_atom_site_label
_atom_site_fract_x
_atom_site_fract_y
_atom_site_fract_z
Hf1 0.000 0.000 0.000
Ag1 0.000 0.500 0.500
Rh1 0.500 0.500 0.500
# Fermi-level density of states (states/eV per cell): 9.3
# E_form (eV per atom): 1.185
# Density (g/cm³): 8.52

Record 5
# Hf2AgRh2 PBE optimized geometry
data_Hf2AgRh2
_chemical_formula_sum 'Hf4 Ag2 Rh4'
_symmetry_space_group_name_H-M 'P 4/m b m'
_symmetry_Int_Tables_number 127
_symmetry_space_group_name_Hall '-P 4 2ab'
_cell_length_a 7.581
_cell_length_b 7.581
_cell_length_c 3.155
_cell_angle_alpha 90.00
_cell_angle_beta 90.00
_cell_angle_gamma 90.00
loop_
_atom_site_label
_atom_site_fract_x
_atom_site_fract_y
_atom_site_fract_z
Hf1 0.160 0.340 0.000
Ag1 0.000 0.000 0.500
Rh1 0.137 0.637 0.500
# Fermi-level density of states (states/eV per cell): 5.6
# E_form (eV per atom): -0.634
# Density (g/cm³): 12.28

Record 6
# HfAgRuRh2 PBE optimized geometry
data_HfAgRuRh2
_chemical_formula_sum 'Hf1 Ag1 Ru1 Rh2'
_symmetry_space_group_name_H-M 'P 4/m m m'
_symmetry_Int_Tables_number 123
_symmetry_space_group_name_Hall '-P 4 2'
_cell_length_a 4.727
_cell_length_b 4.727
_cell_length_c 4.683
_cell_angle_alpha 90.00
_cell_angle_beta 90.00
_cell_angle_gamma 90.00
loop_
_atom_site_label
_atom_site_fract_x
_atom_site_fract_y
_atom_site_fract_z
Hf1 0.000 0.000 0.000
Ag1 0.500 0.500 0.500
Ru1 0.500 0.500 0.000
Rh1 0.000 0.500 0.500
# Fermi-level density of states (states/eV per cell): 6.4
# E_form (eV per atom): 1.481
# Density (g/cm³): 9.41

Record 7
# SmHfAgRh PBE optimized geometry
data_SmHfAgRh
_chemical_formula_sum 'Sm4 Hf4 Ag4 Rh4'
_symmetry_space_group_name_H-M 'F -4 3 m'
_symmetry_Int_Tables_number 216
_symmetry_space_group_name_Hall 'F -4 2 3'
_cell_length_a 6.931
_cell_length_b 6.931
_cell_length_c 6.931
_cell_angle_alpha 90.00
_cell_angle_beta 90.00
_cell_angle_gamma 90.00
loop_
_atom_site_label
_atom_site_fract_x
_atom_site_fract_y
_atom_site_fract_z
Sm1 0.000 0.000 0.000
Hf1 0.000 0.000 0.500
Ag1 0.250 0.250 0.250
Rh1 0.250 0.250 0.750
# Fermi-level density of states (states/eV per cell): 13.0
# E_form (eV per atom): -0.326
# Density (g/cm³): 10.77

Record 8
# HfAgSnRh PBE optimized geometry
data_HfAgSnRh
_chemical_formula_sum 'Hf4 Ag4 Sn4 Rh4'
_symmetry_space_group_name_H-M 'F -4 3 m'
_symmetry_Int_Tables_number 216
_symmetry_space_group_name_Hall 'F -4 2 3'
_cell_length_a 6.632
_cell_length_b 6.632
_cell_length_c 6.632
_cell_angle_alpha 90.00
_cell_angle_beta 90.00
_cell_angle_gamma 90.00
loop_
_atom_site_label
_atom_site_fract_x
_atom_site_fract_y
_atom_site_fract_z
Hf1 0.000 0.000 0.000
Ag1 0.250 0.250 0.250
Sn1 0.000 0.000 0.500
Rh1 0.250 0.250 0.750
# Fermi-level density of states (states/eV per cell): 4.8
# E_form (eV per atom): -0.388
# Density (g/cm³): 11.57